A plane-wave DFT calculation with GGA-PBE was carried out for a geometry-optimized Nd2GdMg3Ir2Au structure.

Lattice parameters (Å, degrees): 4.0784 7.5280 7.5280 119.80 90.00 90.00
Element x y z (fractional)
Mg 0.5000 0.7485 0.9976
Mg 0.5000 0.9976 0.7485
Mg 0.5000 0.2523 0.2523
Nd 0.0000 0.9995 0.4198
Nd 0.0000 0.4198 0.9995
Ir 0.5000 0.3389 0.6653
Ir 0.5000 0.6653 0.3389
Gd 0.0000 0.5817 0.5817
Au 0.0000 0.9965 0.9965

Properties
* theoretical density: 9.1 g/cm3
* energy: -5.06 eV per atom



A plane-wave DFT calculation with GGA-PBE was carried out for a geometry-optimized Rb2NbBiO4 structure.

Lattice parameters (Å, degrees): 6.0359 6.0359 5.8343 114.82 114.82 90.81
Element x y z (fractional)
O 0.0960 0.2361 0.9279
O 0.7639 0.9040 0.0721
O 0.2344 0.1787 0.4795
O 0.8213 0.7656 0.5205
Rb 0.3816 0.6184 0.5000
Rb 0.6523 0.3477 0.0000
Bi 0.0994 0.9006 0.0000
Nb 0.9512 0.0488 0.5000

Properties
* theoretical density: 5.2 g/cm3
* energy: -6.00 eV per atom



A plane-wave DFT calculation with GGA-PBE was carried out for a geometry-optimized Ba3FeS4Br structure.

Lattice parameters (Å, degrees): 12.4802 9.6528 8.5638 90.00 90.00 90.00
Last column: magnetic moment on the atom in μB.
Element x y z (fractional)
Ba 0.3370 0.4785 0.4113  0.01
Ba 0.3370 0.0215 0.4113  0.01
Ba 0.8370 0.4785 0.0887  0.01
Ba 0.4752 0.2500 0.9201  0.04
Ba 0.1630 0.5215 0.9113  0.01
Ba 0.1630 0.9785 0.9113  0.01
Ba 0.5248 0.7500 0.0799  0.04
Ba 0.6630 0.5215 0.5887  0.01
Ba 0.8370 0.0215 0.0887  0.01
Ba 0.6630 0.9785 0.5887  0.01
Ba 0.9752 0.2500 0.5799  0.04
Ba 0.0248 0.7500 0.4201  0.04
S 0.9918 0.7500 0.0363  0.16
S 0.5082 0.2500 0.5363  0.16
S 0.0082 0.2500 0.9637  0.16
S 0.4289 0.5509 0.8103  0.18
S 0.7172 0.7500 0.8617  0.16
S 0.4918 0.7500 0.4637  0.16
S 0.5711 0.4491 0.1897  0.18
S 0.2172 0.7500 0.6383  0.16
S 0.2828 0.2500 0.1383  0.16
S 0.9289 0.5509 0.6897  0.18
S 0.0711 0.0509 0.3103  0.18
S 0.4289 0.9491 0.8103  0.18
S 0.5711 0.0509 0.1897  0.18
S 0.9289 0.9491 0.6897  0.18
S 0.0711 0.4491 0.3103  0.18
S 0.7828 0.2500 0.3617  0.16
Br 0.2675 0.7500 0.1708  0.01
Br 0.7325 0.2500 0.8292  0.01
Br 0.2325 0.2500 0.6708  0.01
Br 0.7675 0.7500 0.3292  0.01
Fe 0.1054 0.2500 0.1872  3.45
Fe 0.3946 0.7500 0.6872  3.45
Fe 0.8946 0.7500 0.8128  3.45
Fe 0.6054 0.2500 0.3128  3.45

Properties
* theoretical density: 4.4 g/cm3
* energy: -5.24 eV per atom



A plane-wave DFT calculation with GGA-PBE was carried out for a geometry-optimized PaFe2C2 structure.

Lattice parameters (Å, degrees): 5.1629 5.1629 5.4005 107.98 107.98 110.74
Element x y z (fractional)
Fe 0.0080 0.2579 0.5158
Fe 0.7421 0.9920 0.9842
Fe 0.2579 0.0080 0.0158
Fe 0.9920 0.7421 0.4842
Pa 0.6250 0.3750 0.7500
Pa 0.3750 0.6250 0.2500
C 0.3127 0.6873 0.7500
C 0.6873 0.3127 0.2500
C 0.9372 0.0628 0.7500
C 0.0628 0.9372 0.2500

Properties
* theoretical density: 10.8 g/cm3
* energy: -9.13 eV per atom



A plane-wave DFT calculation with GGA-PBE was carried out for a geometry-optimized RbZrAg3S4 structure.

Lattice parameters (Å, degrees): 6.3701 6.3701 6.3701 90.00 90.00 90.00
Element x y z (fractional)
S 0.2804 0.2804 0.2804
S 0.7196 0.7196 0.2804
S 0.2804 0.7196 0.7196
S 0.7196 0.2804 0.7196
Ag 0.5000 0.5000 0.0000
Ag 0.0000 0.5000 0.5000
Ag 0.5000 0.0000 0.5000
Rb 0.0000 0.0000 0.0000
Zr 0.5000 0.5000 0.5000

Properties
* theoretical density: 4.0 g/cm3
* energy: -4.63 eV per atom
* energy above the most stable polymorph in this dataset: 0 meV per atom



A plane-wave DFT calculation with GGA-PBE was carried out for a geometry-optimized LiLaCuSi2 structure.

Lattice parameters (Å, degrees): 5.8694 5.8694 5.8694 138.39 138.39 60.30
Element x y z (fractional)
Si 0.6172 0.6172 0.0000
Si 0.3828 0.3828 0.0000
La 0.0000 0.0000 0.0000
Cu 0.2500 0.7500 0.5000
Li 0.7500 0.2500 0.5000

Properties
* theoretical density: 5.0 g/cm3
* energy: -4.83 eV per atom



A plane-wave DFT calculation with GGA-PBE was carried out for a geometry-optimized BaTaOs structure.

Lattice parameters (Å, degrees): 4.7537 4.7537 4.7537 60.00 60.00 60.00
Element x y z (fractional)
Ba 0.2500 0.2500 0.2500
Os 0.0000 0.0000 0.0000
Ta 0.7500 0.7500 0.7500

Properties
* theoretical density: 11.1 g/cm3
* energy: -7.16 eV per atom
* energy above the most stable polymorph in this dataset: 0 meV per atom



A plane-wave DFT calculation with GGA-PBE was carried out for a geometry-optimized SiMo2N structure.

Lattice parameters (Å, degrees): 5.1469 5.1469 13.1683 101.65 101.65 61.90
Element x y z (fractional)
Mo 0.0463 0.1790 0.0902
Mo 0.3672 0.5283 0.1205
Mo 0.9537 0.8210 0.9098
Mo 0.8676 0.7092 0.5910
Mo 0.5283 0.3672 0.6205
Mo 0.1324 0.2908 0.4090
Mo 0.8210 0.9537 0.4098
Mo 0.6328 0.4717 0.8795
Mo 0.1790 0.0463 0.5902
Mo 0.4717 0.6328 0.3795
Mo 0.2908 0.1324 0.9090
Mo 0.7092 0.8676 0.0910
Si 0.1975 0.4233 0.7507
Si 0.9510 0.0490 0.7500
Si 0.5767 0.8025 0.7493
Si 0.4233 0.1975 0.2507
Si 0.8025 0.5767 0.2493
Si 0.0490 0.9510 0.2500
N 0.6463 0.2089 0.0008
N 0.7911 0.3537 0.4992
N 0.3537 0.7911 0.9992
N 0.0000 0.5000 0.0000
N 0.5000 0.0000 0.5000
N 0.2089 0.6463 0.5008

Properties
* theoretical density: 7.8 g/cm3
* energy: -9.02 eV per atom
* energy above the most stable polymorph in this dataset: 0 meV per atom